No. 1
This record from Alexandria describes an optimized crystal structure of CuSiPt3. The functional is GGA-PBE.

## Properties
**Uncorrected formation energy**: 1037 meV per atom
**Size of the total moment**: 0.0 μB per formula unit
**Energy above the most stable polymorph in this dataset**: 1.441 eV per atom
**Final energy**: -4.492 eV/atom

a = 4.570 Å, b = 4.570 Å, c = 4.570 Å
α = 90.00°, β = 90.00°, γ = 90.00°
Space group Pm-3m (No. 221)
Asymmetric unit:
Cu  0.000  0.000  0.000 [1 per cell]
Si  0.500  0.500  0.500 [1 per cell]
Pt  0.000  0.000  0.500 [3 per cell]



No. 2
This record from Alexandria describes an optimized crystal structure of CuSiPt2. The functional is GGA-PBE.

## Properties
**Uncorrected formation energy**: -433 meV per atom
**Size of the total moment**: 0.0 μB per formula unit
**Final energy**: -5.833 eV/atom

a = 8.479 Å, b = 3.659 Å, c = 4.221 Å
α = 90.00°, β = 119.60°, γ = 90.00°
Space group C2/m (No. 12)
Asymmetric unit:
Cu  0.000  0.000  0.000 [2 per cell]
Si  0.000  0.500  0.500 [2 per cell]
Pt  0.217  0.000  0.717 [4 per cell]